CaCu GGA-PBE relaxed; formation energy = 8 kJ/mol of atoms
1.0
-3.234 3.545 -3.423
2.169 -2.652 -4.796
-4.384 -3.855 0.149
Cu Ca
4 4
direct
0.155 0.845 0.500
0.655 0.655 0.000
0.345 0.345 0.000
0.845 0.155 0.500
0.698 0.698 0.500
0.302 0.302 0.500
0.802 0.198 0.000
0.198 0.802 0.000